A relaxed structure of Al2FeCo, computed with PBE-GGA.

```
16
Lattice="6.4992 0.0000 0.0000 0.0000 6.6984 0.0000 0.0000 0.0000 4.9657" Properties=species:S:1:pos:R:3 pbc="T T T"
Al 1.2287 0.2916 0.4837
Al 1.2287 3.0576 0.4837
Al 2.0209 3.6408 2.9666
Al 2.0209 6.4068 2.9666
Al 4.4783 0.2916 1.9991
Al 4.4783 3.0576 1.9991
Al 5.2705 3.6408 4.4819
Al 5.2705 6.4068 4.4819
Fe 0.1683 1.6746 3.0739
Fe 3.0813 5.0238 0.5911
Fe 3.4179 1.6746 4.3746
Fe 6.3309 5.0238 1.8918
Co 0.6964 5.0238 4.2850
Co 2.5532 1.6746 1.8021
Co 3.9460 5.0238 3.1636
Co 5.8028 1.6746 0.6807
```

Calculated values
**Total energy**: -93.013 eV for the cell shown
**Crystal system**: orthorhombic
**Space group**: Pnma